Pr2Zr3Sn4 | GGA-PBE | relaxed

abc: 7.828 7.977 7.965
angles: 90.00 90.00 109.98
Sites, in units of the cell vectors:
Zr: 0.252 0.745 0.170
Zr: 0.748 0.255 0.830
Zr: 0.500 0.500 0.000
Zr: 0.752 0.745 0.330
Zr: 0.000 0.500 0.500
Zr: 0.248 0.255 0.670
Sn: 0.640 0.509 0.636
Sn: 0.860 0.491 0.136
Sn: 0.144 0.913 0.459
Sn: 0.356 0.087 0.959
Sn: 0.140 0.509 0.864
Sn: 0.644 0.913 0.041
Sn: 0.360 0.491 0.364
Sn: 0.856 0.087 0.541
Pr: 0.059 0.186 0.169
Pr: 0.559 0.186 0.331
Pr: 0.441 0.814 0.669
Pr: 0.941 0.814 0.831

## Properties
V   467.5 Å³ per cell
Fermi-level density of states   0.9034 states/eV/atom
SG   P2_1/c
Calculated total energy   -114.86 eV/cell
ρ   7.320 Mg/m³
Total magnetic moment   0.00 μB per formula unit